A PBEsol-optimized structure of RbVBP2HO9, computed with meta-GGA SCAN.

Geometry as CIF:
```
data_RbVBP2HO9
_cell_length_a 9.475
_cell_length_b 8.330
_cell_length_c 9.697
_cell_angle_alpha 90.00
_cell_angle_beta 102.83
_cell_angle_gamma 90.00
_space_group_name_H-M_alt 'P 1 21/c 1'
_space_group_IT_number 14
loop_
_space_group_symop_operation_xyz
'x,y,z'
'-x,-y,-z'
'-x,y+1/2,-z+1/2'
'x,-y+1/2,z+1/2'
loop_
_atom_site_label
_atom_site_type_symbol
_atom_site_fract_x
_atom_site_fract_y
_atom_site_fract_z
Rb1 Rb 0.188 0.097 0.070
V1 V 0.208 0.653 0.937
B1 B 0.334 0.059 0.696
P1 P 0.075 0.562 0.208
P2 P 0.420 0.740 0.723
H1 H 0.397 0.077 0.504
O1 O 0.074 0.515 0.809
O2 O 0.089 0.667 0.082
O3 O 0.104 0.654 0.349
O4 O 0.190 0.079 0.726
O5 O 0.312 0.047 0.539
O6 O 0.349 0.629 0.813
O7 O 0.359 0.717 0.564
O8 O 0.412 0.581 0.268
O9 O 0.413 0.207 0.745
```

## Properties
**Energy**: -10.873 eV/atom
**Spin magnetization**: 2.00 μB/f.u.